Entry 1:
Computed, not measured: a relaxed structure of Pm4NiSb2 at the PBE level of DFT.

## Properties
Space group: I4/mmm (139)
ΔE_f (raw) in eV/f.u.: -4.49
Magnetization in μB/f.u.: 0.0
E above lowest polymorph in eV/atom: 0.028

Lattice parameters (Å, degrees): 9.113 9.113 9.113 147.96 147.96 45.95
Element x y z (fractional)
Pm (0.000, 0.500, 0.500)
Pm (0.173, 0.173, 0.000)
Pm (0.500, 0.000, 0.500)
Pm (0.827, 0.827, 0.000)
Ni (0.000, 0.000, 0.000)
Sb (0.363, 0.363, 0.000)
Sb (0.637, 0.637, 0.000)


Entry 2:
Computed, not measured: a relaxed structure of Pm4NiSb2 at the PBE level of DFT.

## Properties
Space group: P2_1/m (11)
ΔE_f (raw) in eV/f.u.: -4.69
Magnetization in μB/f.u.: 0.0
E above lowest polymorph in eV/atom: 0.000

Lattice parameters (Å, degrees): 6.992 6.480 9.332 90.00 108.51 90.00
Element x y z (fractional)
Pm (0.015, 0.005, 0.275)
Pm (0.015, 0.495, 0.275)
Pm (0.383, 0.750, 0.074)
Pm (0.442, 0.750, 0.634)
Pm (0.558, 0.250, 0.366)
Pm (0.617, 0.250, 0.926)
Pm (0.985, 0.505, 0.725)
Pm (0.985, 0.995, 0.725)
Ni (0.340, 0.750, 0.336)
Ni (0.660, 0.250, 0.664)
Sb (0.215, 0.250, 0.042)
Sb (0.273, 0.250, 0.580)
Sb (0.727, 0.750, 0.420)
Sb (0.785, 0.750, 0.958)


Entry 3:
Computed, not measured: a relaxed structure of PmNiSb2 at the PBE level of DFT.

## Properties
Space group: Fm-3m (225)
ΔE_f (raw) in eV/f.u.: -0.55
Magnetization in μB/f.u.: 0.0
E above lowest polymorph in eV/atom: 0.265

Lattice parameters (Å, degrees): 5.105 5.105 5.105 60.00 60.00 60.00
Element x y z (fractional)
Pm (0.000, 0.000, 0.000)
Ni (0.500, 0.500, 0.500)
Sb (0.250, 0.250, 0.250)
Sb (0.750, 0.750, 0.750)


Entry 4:
Computed, not measured: a relaxed structure of PmNiSb2 at the PBE level of DFT.

## Properties
Space group: R-3m (166)
ΔE_f (raw) in eV/f.u.: -1.60
Magnetization in μB/f.u.: 0.0
E above lowest polymorph in eV/atom: 0.000

Lattice parameters (Å, degrees): 5.969 5.969 5.969 44.31 44.31 44.31
Element x y z (fractional)
Pm (0.000, 0.000, 0.000)
Ni (0.500, 0.500, 0.500)
Sb (0.221, 0.221, 0.221)
Sb (0.779, 0.779, 0.779)


Entry 5:
Computed, not measured: a relaxed structure of PmNi5Sb3 at the PBE level of DFT.

## Properties
Space group: Cmcm (63)
ΔE_f (raw) in eV/f.u.: -3.35
Magnetization in μB/f.u.: 0.0

Lattice parameters (Å, degrees): 7.276 7.276 10.628 90.00 90.00 146.08
Element x y z (fractional)
Pm (0.247, 0.753, 0.750)
Pm (0.753, 0.247, 0.250)
Ni (0.043, 0.957, 0.625)
Ni (0.043, 0.957, 0.875)
Ni (0.318, 0.682, 0.041)
Ni (0.318, 0.682, 0.459)
Ni (0.500, 0.500, 0.000)
Ni (0.500, 0.500, 0.500)
Ni (0.682, 0.318, 0.541)
Ni (0.682, 0.318, 0.959)
Ni (0.957, 0.043, 0.125)
Ni (0.957, 0.043, 0.375)
Sb (0.136, 0.864, 0.077)
Sb (0.136, 0.864, 0.423)
Sb (0.424, 0.576, 0.250)
Sb (0.576, 0.424, 0.750)
Sb (0.864, 0.136, 0.577)
Sb (0.864, 0.136, 0.923)


Entry 6:
Computed, not measured: a relaxed structure of Pm2NiSb at the PBE level of DFT.

## Properties
Space group: P4/mmm (123)
ΔE_f (raw) in eV/f.u.: -2.02
Magnetization in μB/f.u.: 0.0
E above lowest polymorph in eV/atom: 0.000

Lattice parameters (Å, degrees): 3.681 3.681 7.361 90.00 90.00 90.00
Element x y z (fractional)
Pm (0.000, 0.000, 0.225)
Pm (0.000, 0.000, 0.775)
Ni (0.500, 0.500, 0.000)
Sb (0.500, 0.500, 0.500)


Entry 7:
Computed, not measured: a relaxed structure of Pm6NiSb2 at the PBE level of DFT.

## Properties
Space group: P-62m (189)
ΔE_f (raw) in eV/f.u.: -5.54
Magnetization in μB/f.u.: 0.0

Lattice parameters (Å, degrees): 8.548 8.548 4.087 90.00 90.00 120.00
Element x y z (fractional)
Pm (0.000, 0.239, 0.000)
Pm (0.000, 0.589, 0.500)
Pm (0.239, 0.000, 0.000)
Pm (0.411, 0.411, 0.500)
Pm (0.589, 0.000, 0.500)
Pm (0.761, 0.761, 0.000)
Ni (0.000, 0.000, 0.500)
Sb (0.333, 0.667, 0.000)
Sb (0.667, 0.333, 0.000)


Entry 8:
Computed, not measured: a relaxed structure of PmNi4Sb2 at the PBE level of DFT.

## Properties
Space group: P4_2/mnm (136)
ΔE_f (raw) in eV/f.u.: -2.89
Magnetization in μB/f.u.: 0.0

Lattice parameters (Å, degrees): 7.640 7.640 4.044 90.00 90.00 90.00
Element x y z (fractional)
Pm (0.000, 0.000, 0.000)
Pm (0.500, 0.500, 0.500)
Ni (0.090, 0.361, 0.500)
Ni (0.139, 0.590, 0.000)
Ni (0.361, 0.090, 0.500)
Ni (0.410, 0.861, 0.000)
Ni (0.590, 0.139, 0.000)
Ni (0.639, 0.910, 0.500)
Ni (0.861, 0.410, 0.000)
Ni (0.910, 0.639, 0.500)
Sb (0.218, 0.782, 0.500)
Sb (0.282, 0.282, 0.000)
Sb (0.718, 0.718, 0.000)
Sb (0.782, 0.218, 0.500)


Entry 9:
Computed, not measured: a relaxed structure of Pm8NiSb2 at the PBE level of DFT.

## Properties
Space group: C2/m (12)
ΔE_f (raw) in eV/f.u.: -4.77
Magnetization in μB/f.u.: 0.0

Lattice parameters (Å, degrees): 9.753 9.753 7.646 98.05 98.05 27.70
Element x y z (fractional)
Pm (0.005, 0.005, 0.285)
Pm (0.213, 0.213, 0.849)
Pm (0.354, 0.354, 0.471)
Pm (0.406, 0.406, 0.985)
Pm (0.594, 0.594, 0.015)
Pm (0.646, 0.646, 0.529)
Pm (0.787, 0.787, 0.151)
Pm (0.995, 0.995, 0.715)
Ni (0.500, 0.500, 0.500)
Sb (0.183, 0.183, 0.267)
Sb (0.817, 0.817, 0.733)


Entry 10:
Computed, not measured: a relaxed structure of Pm2NiSb at the PBE level of DFT.

## Properties
Space group: Fm-3m (225)
ΔE_f (raw) in eV/f.u.: -1.86
Magnetization in μB/f.u.: 0.7
E above lowest polymorph in eV/atom: 0.039

Lattice parameters (Å, degrees): 5.221 5.221 5.221 60.00 60.00 60.00
Element x y z (fractional)
Pm (0.250, 0.250, 0.250)
Pm (0.750, 0.750, 0.750)
Ni (0.000, 0.000, 0.000)
Sb (0.500, 0.500, 0.500)